#w
# GGA-PBE MoIrSe, relaxed
# Size of the total moment (μB per formula unit): 0.00
# DOS(E_F) (states/eV per cell): 10.9
data_MoIrSe
_cell_length_a 6.040
_cell_length_b 6.040
_cell_length_c 6.040
_cell_angle_alpha 90.00
_cell_angle_beta 90.00
_cell_angle_gamma 90.00
_symmetry_space_group_name_H-M 'F -4 3 m'
_symmetry_Int_Tables_number 216
_symmetry_space_group_name_Hall 'F -4 2 3'
loop_
_atom_site_label
_atom_site_fract_x
_atom_site_fract_y
_atom_site_fract_z
Mo1 0.000 0.000 0.000
Ir1 0.250 0.250 0.250
Se1 0.250 0.250 0.750

***

#x
# GGA-PBE MoIrSe, relaxed
# Size of the total moment (μB per formula unit): 0.00
# DOS(E_F) (states/eV per cell): 3.8
data_MoIrSe
_cell_length_a 12.819
_cell_length_b 2.992
_cell_length_c 5.194
_cell_angle_alpha 90.00
_cell_angle_beta 90.00
_cell_angle_gamma 90.00
_symmetry_space_group_name_H-M 'A m m 2'
_symmetry_Int_Tables_number 38
_symmetry_space_group_name_Hall 'A 2 -2'
loop_
_atom_site_label
_atom_site_fract_x
_atom_site_fract_y
_atom_site_fract_z
Mo1 0.000 0.000 0.000
Mo2 0.500 0.000 0.045
Ir1 0.342 0.000 0.711
Se1 0.143 0.000 0.332

***

Stability check: which of them is least stable? #w.

***

#w
# GGA-PBE MoIrSe2, relaxed
# Size of the total moment (μB per formula unit): 0.00
# DOS(E_F) (states/eV per cell): 16.2
data_MoIrSe2
_cell_length_a 6.338
_cell_length_b 6.338
_cell_length_c 6.338
_cell_angle_alpha 90.00
_cell_angle_beta 90.00
_cell_angle_gamma 90.00
_symmetry_space_group_name_H-M 'F m -3 m'
_symmetry_Int_Tables_number 225
_symmetry_space_group_name_Hall '-F 4 2 3'
loop_
_atom_site_label
_atom_site_fract_x
_atom_site_fract_y
_atom_site_fract_z
Mo1 0.000 0.000 0.000
Ir1 0.000 0.000 0.500
Se1 0.250 0.250 0.250

***

#x
# GGA-PBE MoIrSe2, relaxed
# Size of the total moment (μB per formula unit): 0.00
# DOS(E_F) (states/eV per cell): 5.7
data_MoIrSe2
_cell_length_a 2.979
_cell_length_b 4.490
_cell_length_c 9.944
_cell_angle_alpha 90.00
_cell_angle_beta 90.00
_cell_angle_gamma 90.00
_symmetry_space_group_name_H-M 'I m m 2'
_symmetry_Int_Tables_number 44
_symmetry_space_group_name_Hall 'I 2 -2'
loop_
_atom_site_label
_atom_site_fract_x
_atom_site_fract_y
_atom_site_fract_z
Mo1 0.000 0.000 0.000
Ir1 0.000 0.500 0.261
Se1 0.000 0.000 0.525
Se2 0.000 0.500 0.734

***

Stability check: which of them is least stable? #x.

***

#w
# GGA-PBE MoIrSe2, relaxed
# Size of the total moment (μB per formula unit): 0.00
# DOS(E_F) (states/eV per cell): 10.8
data_MoIrSe2
_cell_length_a 5.622
_cell_length_b 5.622
_cell_length_c 11.120
_cell_angle_alpha 90.00
_cell_angle_beta 90.00
_cell_angle_gamma 90.00
_symmetry_space_group_name_H-M 'I -4 2 d'
_symmetry_Int_Tables_number 122
_symmetry_space_group_name_Hall 'I -4 2bw'
loop_
_atom_site_label
_atom_site_fract_x
_atom_site_fract_y
_atom_site_fract_z
Mo1 0.000 0.000 0.000
Ir1 0.000 0.000 0.500
Se1 0.248 0.250 0.625

***

#x
# GGA-PBE MoIrSe2, relaxed
# Size of the total moment (μB per formula unit): 0.00
# DOS(E_F) (states/eV per cell): 3.3
data_MoIrSe2
_cell_length_a 9.458
_cell_length_b 3.255
_cell_length_c 6.451
_cell_angle_alpha 90.00
_cell_angle_beta 95.11
_cell_angle_gamma 90.00
_symmetry_space_group_name_H-M 'C 1 m 1'
_symmetry_Int_Tables_number 8
_symmetry_space_group_name_Hall 'C -2y'
loop_
_atom_site_label
_atom_site_fract_x
_atom_site_fract_y
_atom_site_fract_z
Mo1 0.000 0.000 0.000
Ir1 0.212 0.500 0.000
Se1 0.057 0.500 0.289
Se2 0.330 0.000 0.764

***

#y
# GGA-PBE MoIrSe2, relaxed
# Size of the total moment (μB per formula unit): 0.00
# DOS(E_F) (states/eV per cell): 15.6
data_MoIrSe2
_cell_length_a 3.0435
_cell_length_b 3.0435
_cell_length_c 29.1296
_cell_angle_alpha 90.00
_cell_angle_beta 90.00
_cell_angle_gamma 120.00
_symmetry_space_group_name_H-M 'R 3 m'
_symmetry_Int_Tables_number 160
_symmetry_space_group_name_Hall 'R 3 -2"'
loop_
_atom_site_label
_atom_site_fract_x
_atom_site_fract_y
_atom_site_fract_z
Mo1 0.0000 0.0000 0.0000
Ir1 0.0000 0.0000 0.7433
Se1 0.0000 0.0000 0.2715
Se2 0.0000 0.0000 0.4740

***

#z
# GGA-PBE MoIrSe2, relaxed
# Size of the total moment (μB per formula unit): 0.00
# DOS(E_F) (states/eV per cell): 6.3
data_MoIrSe2
_cell_length_a 8.299
_cell_length_b 3.074
_cell_length_c 5.277
_cell_angle_alpha 90.00
_cell_angle_beta 98.61
_cell_angle_gamma 90.00
_symmetry_space_group_name_H-M 'C 1 2/m 1'
_symmetry_Int_Tables_number 12
_symmetry_space_group_name_Hall '-C 2y'
loop_
_atom_site_label
_atom_site_fract_x
_atom_site_fract_y
_atom_site_fract_z
Mo1 0.000 0.000 0.000
Ir1 0.000 0.500 0.500
Se1 0.223 0.500 0.234

***

Stability check: which of them is least stable? #w.